LiTl2Os | PBE | optimized geometry Values from VASP.

## Properties
Excess energy over the best structure of this formula in the dataset = 77 meV/atom
Density of states at the Fermi level = 0.89 states/eV/atom
ΔH_f (0 K) = 521 meV/atom
Symmetry = R-3m (166)
Raw total energy = -3.948 eV/atom
Density = 12.75 g/cm3

```
&SYSTEM
  ibrav = 0, nat = 4, ntyp = 3
/
ATOMIC_SPECIES
Li 6.94 Li.upf
Os 190.23 Os.upf
Tl 204.38 Tl.upf
ATOMIC_POSITIONS angstrom
Li 19.908 3.426 2.017
Os 6.636 1.142 0.672
Tl 26.521 4.564 2.687
Tl 13.295 2.288 1.347
CELL_PARAMETERS angstrom
9.207 -0.028 -0.016
8.668 3.104 -0.016
8.668 1.492 2.722
```